A plane-wave DFT calculation with PBE was carried out for a relaxed structure of NiBAs3.

Values from the calculation:
Energy of formation   877 meV/atom
DOS(E_F)   2.42 states/eV/cell

a = 4.304 Å, b = 4.304 Å, c = 4.304 Å
α = 90.00°, β = 90.00°, γ = 90.00°
Fractional positions:
1 Ni 0.000 0.000 0.000
2 B 0.500 0.500 0.500
3 As 0.000 0.500 0.500
4 As 0.500 0.000 0.500
5 As 0.500 0.500 0.000